Record 1
# SrPtS2N

Crystalline SrPtS2N at its relaxed geometry (GGA-PBE, Alexandria via LeMat-Bulk).

Calculated values
As for the crystal system: tetragonal. The excess energy over the best structure of this formula in the dataset comes out at 0.00 eV/f.u. The space-group type is No. 123. The value obtained for the formation energy from raw total energies is -8.405 kcal/mol of atoms.

Unit cell a=5.092 b=5.092 c=3.760 alpha=90.00 beta=90.00 gamma=90.00
Atoms (fractional coordinates):
1 Sr 0.000 0.000 0.000
2 Pt 0.500 0.500 0.500
3 S 0.000 0.500 0.500
4 S 0.500 0.000 0.500
5 N 0.500 0.500 0.000

***

Record 2
# SrPtS2N

Crystalline SrPtS2N at its relaxed geometry (GGA-PBE, Alexandria via LeMat-Bulk).

Calculated values
As for the crystal system: tetragonal. The excess energy over the best structure of this formula in the dataset comes out at 9.37 eV/f.u. The space-group type is No. 123. The value obtained for the formation energy from raw total energies is 34.791 kcal/mol of atoms.

Unit cell a=5.523 b=5.523 c=4.698 alpha=90.00 beta=90.00 gamma=90.00
Atoms (fractional coordinates):
1 Sr 0.000 0.000 0.000
2 Pt 0.500 0.500 0.500
3 S 0.000 0.500 0.000
4 S 0.500 0.000 0.000
5 N 0.000 0.000 0.500

***

Record 3
# Sr2PtSN

Crystalline Sr2PtSN at its relaxed geometry (GGA-PBE, Alexandria via LeMat-Bulk).

Calculated values
As for the crystal system: tetragonal. The space-group type is No. 123. The value obtained for the formation energy from raw total energies is -25.886 kcal/mol of atoms.

Unit cell a=5.358 b=5.358 c=3.853 alpha=90.00 beta=90.00 gamma=90.00
Atoms (fractional coordinates):
1 Sr 0.000 0.500 0.000
2 Sr 0.500 0.000 0.000
3 Pt 0.000 0.000 0.500
4 S 0.500 0.500 0.500
5 N 0.000 0.000 0.000

***

Record 4
# TaPtSN2

Crystalline TaPtSN2 at its relaxed geometry (GGA-PBE, Alexandria via LeMat-Bulk).

Calculated values
As for the crystal system: tetragonal. The excess energy over the best structure of this formula in the dataset comes out at 0.00 eV/f.u. The space-group type is No. 123. The value obtained for the formation energy from raw total energies is 13.187 kcal/mol of atoms.

Unit cell a=3.923 b=3.923 c=5.233 alpha=90.00 beta=90.00 gamma=90.00
Atoms (fractional coordinates):
1 Ta 0.000 0.000 0.000
2 Pt 0.500 0.500 0.500
3 S 0.000 0.000 0.500
4 N 0.000 0.500 0.000
5 N 0.500 0.000 0.000

***

Record 5
# TaPtS2N

Crystalline TaPtS2N at its relaxed geometry (GGA-PBE, Alexandria via LeMat-Bulk).

Calculated values
As for the crystal system: tetragonal. The excess energy over the best structure of this formula in the dataset comes out at 2.55 eV/f.u. The space-group type is No. 123. The value obtained for the formation energy from raw total energies is 21.278 kcal/mol of atoms.

Unit cell a=4.887 b=4.887 c=3.638 alpha=90.00 beta=90.00 gamma=90.00
Atoms (fractional coordinates):
1 Ta 0.000 0.000 0.000
2 Pt 0.500 0.500 0.500
3 S 0.000 0.500 0.500
4 S 0.500 0.000 0.500
5 N 0.500 0.500 0.000

***

Record 6
# TaPtSN2

Crystalline TaPtSN2 at its relaxed geometry (GGA-PBE, Alexandria via LeMat-Bulk).

Calculated values
As for the crystal system: tetragonal. The excess energy over the best structure of this formula in the dataset comes out at 4.22 eV/f.u. The space-group type is No. 123. The value obtained for the formation energy from raw total energies is 32.631 kcal/mol of atoms.

Unit cell a=3.904 b=3.904 c=4.682 alpha=90.00 beta=90.00 gamma=90.00
Atoms (fractional coordinates):
1 Ta 0.000 0.000 0.000
2 Pt 0.500 0.500 0.500
3 S 0.500 0.500 0.000
4 N 0.000 0.500 0.500
5 N 0.500 0.000 0.500

***

What is the formula in the second record? SrPtS2N